VASP calculation (PBE-GGA) on crystalline Li4CdIn5 at its relaxed geometry.

Cell and atoms, written as CIF:
```
data_Li4CdIn5
_cell_length_a 3.534
_cell_length_b 3.534
_cell_length_c 16.759
_cell_angle_alpha 90.00
_cell_angle_beta 90.00
_cell_angle_gamma 90.00
_symmetry_space_group_name_H-M 'P 1'
_symmetry_Int_Tables_number 1
loop_
_symmetry_equiv_pos_as_xyz
'x,y,z'
loop_
_atom_site_label
_atom_site_type_symbol
_atom_site_fract_x
_atom_site_fract_y
_atom_site_fract_z
In1 In 0.500 0.500 0.692
Li1 Li 0.000 0.000 0.211
In2 In 0.500 0.500 0.113
In3 In 0.500 0.500 0.887
In4 In 0.500 0.500 0.308
Li2 Li 0.000 0.000 0.789
Li3 Li 0.000 0.000 0.596
Cd1 Cd 0.000 0.000 0.000
In5 In 0.500 0.500 0.500
Li4 Li 0.000 0.000 0.404
```

Calculated values
Formation energy, eV per atom: -0.21
E, eV per atom: -2.4323
Crystal system: tetragonal
Mass density, kg/m3: 5665

=====

VASP calculation (PBE-GGA) on crystalline Li5Cd2In4 at its relaxed geometry.

Cell and atoms, written as CIF:
```
data_Li5Cd2In4
_cell_length_a 3.213
_cell_length_b 7.628
_cell_length_c 18.099
_cell_angle_alpha 90.00
_cell_angle_beta 90.00
_cell_angle_gamma 90.00
_symmetry_space_group_name_H-M 'P 1'
_symmetry_Int_Tables_number 1
loop_
_symmetry_equiv_pos_as_xyz
'x,y,z'
loop_
_atom_site_label
_atom_site_type_symbol
_atom_site_fract_x
_atom_site_fract_y
_atom_site_fract_z
In1 In 0.500 0.428 0.646
In2 In 0.500 0.304 0.937
In3 In 0.500 0.072 0.146
Li1 Li 0.000 0.743 0.706
Li2 Li 0.000 0.357 0.070
Li3 Li 0.000 0.143 0.570
Li4 Li 0.000 0.500 0.500
Cd1 Cd 0.500 0.952 0.306
In4 In 0.500 0.572 0.354
Li5 Li 0.000 0.757 0.206
Li6 Li 0.000 0.257 0.294
In5 In 0.500 0.696 0.063
Cd2 Cd 0.500 0.452 0.194
Cd3 Cd 0.500 0.548 0.806
In6 In 0.500 0.196 0.437
In7 In 0.500 0.804 0.563
In8 In 0.500 0.928 0.854
Li7 Li 0.000 0.000 0.000
Li8 Li 0.000 0.857 0.430
Cd4 Cd 0.500 0.048 0.694
Li9 Li 0.000 0.243 0.794
Li10 Li 0.000 0.643 0.930
```

Calculated values
Formation energy, eV per atom: -0.24
E, eV per atom: -2.2742
Crystal system: orthorhombic
Mass density, kg/m3: 5381

=====

VASP calculation (PBE-GGA) on crystalline Li8Cd5In at its relaxed geometry.

Cell and atoms, written as CIF:
```
data_Li8Cd5In
_cell_length_a 7.132
_cell_length_b 7.132
_cell_length_c 7.132
_cell_angle_alpha 110.71
_cell_angle_beta 107.03
_cell_angle_gamma 110.71
_symmetry_space_group_name_H-M 'P 1'
_symmetry_Int_Tables_number 1
loop_
_symmetry_equiv_pos_as_xyz
'x,y,z'
loop_
_atom_site_label
_atom_site_type_symbol
_atom_site_fract_x
_atom_site_fract_y
_atom_site_fract_z
Li1 Li 0.932 0.076 0.656
Cd1 Cd 0.879 0.910 0.208
Li2 Li 0.657 0.401 0.921
Cd2 Cd 0.031 0.329 0.121
Li3 Li 0.581 0.924 0.856
Cd3 Cd 0.500 0.000 0.500
Li4 Li 0.745 0.264 0.343
Li5 Li 0.344 0.275 0.419
In1 In 0.250 0.500 0.750
Li6 Li 0.079 0.736 0.481
Cd4 Cd 0.792 0.671 0.702
Li7 Li 0.519 0.599 0.255
Li8 Li 0.144 0.725 0.068
Cd5 Cd 0.298 0.090 0.969
```

Calculated values
Formation energy, eV per atom: -0.14
E, eV per atom: -1.7521
Crystal system: tetragonal
Mass density, kg/m3: 4361

=====

- What is the E in the third record?
  -1.7521 eV per atom